Record 1
Compound: TbSb3
Source: the Alexandria database
Functional: GGA-PBE
Structure: relaxed

Output
Uncorrected energy, eV per atom: -4.677
Raw formation energy, eV per atom: -0.43

a b c (Å): 4.018 5.532 6.069
angles (deg): 117.12 109.33 90.00
Fractional coordinates of all 4 atoms:
Sb 0.272 0.601 0.545
Sb 0.500 0.487 0.000
Sb 0.728 0.056 0.455
Tb 0.000 0.022 0.000

Record 2
Compound: Sc2Be3Ru
Source: the Alexandria database
Functional: GGA-PBE
Structure: relaxed

Output
Uncorrected energy, eV per atom: -5.838
E_form, eV/atom: -0.32

a b c (Å): 4.825 4.825 4.916
angles (deg): 90.06 119.41 119.91
Fractional coordinates of all 6 atoms:
Sc 0.749 0.375 0.124
Sc 0.251 0.625 0.876
Be 0.500 0.500 0.500
Be 0.000 0.000 0.500
Be 0.500 0.000 0.500
Ru 0.000 0.000 0.000

Record 3
Compound: Ba2NaCu2
Source: the Alexandria database
Functional: GGA-PBE
Structure: relaxed

Output
Uncorrected energy, eV per atom: -2.499
E_form, eV/atom: 0.17

a b c (Å): 9.304 9.304 3.909
angles (deg): 90.00 90.00 90.00
Fractional coordinates of all 10 atoms:
Na 0.000 0.000 0.000
Na 0.500 0.500 0.000
Ba 0.348 0.848 0.000
Ba 0.848 0.652 0.000
Ba 0.652 0.152 0.000
Ba 0.152 0.348 0.000
Cu 0.134 0.634 0.500
Cu 0.634 0.866 0.500
Cu 0.866 0.366 0.500
Cu 0.366 0.134 0.500

Record 4
Compound: YMgPdO2
Source: the Alexandria database
Functional: GGA-PBE
Structure: relaxed

Output
Uncorrected energy, eV per atom: -5.777
Raw formation energy, eV per atom: -1.14

a b c (Å): 4.061 4.559 4.061
angles (deg): 90.00 90.00 90.00
Fractional coordinates of all 5 atoms:
Y 0.500 0.500 0.500
Mg 0.000 0.000 0.000
O 0.000 0.000 0.500
O 0.500 0.000 0.000
Pd 0.000 0.500 0.000

Record 5
Compound: DyTl2
Source: the Alexandria database
Functional: GGA-PBE
Structure: relaxed

Output
Uncorrected energy, eV per atom: -3.219
E_form, eV/atom: -0.11

a b c (Å): 3.622 3.622 20.986
angles (deg): 110.02 110.02 120.18
Fractional coordinates of all 6 atoms:
Dy 0.333 0.667 0.750
Dy 0.667 0.333 0.250
Tl 0.003 0.335 0.417
Tl 0.665 0.997 0.083
Tl 0.997 0.665 0.583
Tl 0.335 0.003 0.917